(1)
## TaSiP2O (PBE-GGA)

Data for a relaxed structure of TaSiP2O.

Unit cell a=4.9340 b=4.9340 c=3.8355 alpha=90.00 beta=90.00 gamma=90.00
Closest atoms and distances in Å follow each position.
Positions (direct):
1 P 0.0000 0.5000 0.0000  2 Ta 2.47
2 O 0.0000 0.0000 0.5000  2 Ta 1.92
3 Ta 0.0000 0.0000 0.0000  2 O 1.92
4 P 0.5000 0.0000 0.0000  2 Ta 2.47
5 Si 0.5000 0.5000 0.5000  8 P 3.12, 4 O 3.49

Values from the calculation:
The calculated total energy is -6.84 eV per atom. The calculation puts the density of states at the Fermi level at 2.23 states/eV/f.u. For the relative energy among the computed polymorphs, the calculation gives 0.0 meV/atom. For the formation energy from raw total energies, the calculation gives -234 meV per atom.



(2)
## TaSiP2O (PBE-GGA)

Data for a relaxed structure of TaSiP2O.

Unit cell a=4.7113 b=4.7113 c=3.2599 alpha=90.00 beta=90.00 gamma=90.00
Closest atoms and distances in Å follow each position.
Positions (direct):
1 P 0.0000 0.5000 0.0000  2 Si 2.36
2 Ta 0.5000 0.5000 0.5000  8 P 2.86
3 P 0.5000 0.0000 0.0000  2 Si 2.36
4 Si 0.0000 0.0000 0.0000  2 O 1.63
5 O 0.0000 0.0000 0.5000  2 Si 1.63

Values from the calculation:
The calculated total energy is -6.75 eV per atom. The calculation puts the density of states at the Fermi level at 3.47 states/eV/f.u. For the relative energy among the computed polymorphs, the calculation gives 91.3 meV/atom. For the formation energy from raw total energies, the calculation gives -142 meV per atom.



(3)
## SiTcP2O (PBE-GGA)

Data for a relaxed structure of SiTcP2O.

Unit cell a=4.7812 b=4.7812 c=3.6660 alpha=90.00 beta=90.00 gamma=90.00
Closest atoms and distances in Å follow each position.
Positions (direct):
1 O 0.0000 0.0000 0.5000  2 Tc 1.83
2 P 0.0000 0.5000 0.0000  2 Tc 2.39
3 Tc 0.0000 0.0000 0.0000  2 O 1.83
4 P 0.5000 0.0000 0.0000  2 Tc 2.39
5 Si 0.5000 0.5000 0.5000  8 P 3.01

Values from the calculation:
The calculated total energy is -6.17 eV per atom. The calculation puts the density of states at the Fermi level at 3.62 states/eV/f.u. For the relative energy among the computed polymorphs, the calculation gives 86.3 meV/atom. For the formation energy from raw total energies, the calculation gives 147 meV per atom.



(4)
## SiTcP2O (PBE-GGA)

Data for a relaxed structure of SiTcP2O.

Unit cell a=4.7000 b=4.7000 c=3.2161 alpha=90.00 beta=90.00 gamma=90.00
Closest atoms and distances in Å follow each position.
Positions (direct):
1 Si 0.0000 0.0000 0.0000  2 O 1.61
2 P 0.5000 0.0000 0.0000  2 Si 2.35
3 Tc 0.5000 0.5000 0.5000  8 P 2.85
4 O 0.0000 0.0000 0.5000  2 Si 1.61
5 P 0.0000 0.5000 0.0000  2 Si 2.35

Values from the calculation:
The calculated total energy is -6.25 eV per atom. The calculation puts the density of states at the Fermi level at 3.60 states/eV/f.u. For the relative energy among the computed polymorphs, the calculation gives 0.0 meV/atom. For the formation energy from raw total energies, the calculation gives 61 meV per atom.



(5)
## SiTePO2 (PBE-GGA)

Data for a relaxed structure of SiTePO2.

Unit cell a=3.6241 b=3.6241 c=5.1378 alpha=90.00 beta=90.00 gamma=90.00
Closest atoms and distances in Å follow each position.
Positions (direct):
1 O 0.5000 0.0000 0.0000  2 Si 1.81
2 O 0.0000 0.5000 0.0000  2 Si 1.81
3 Te 0.5000 0.5000 0.5000  4 P 2.56
4 P 0.0000 0.0000 0.5000  4 Te 2.56, 2 Si 2.57
5 Si 0.0000 0.0000 0.0000  4 O 1.81

Values from the calculation:
The calculated total energy is -5.41 eV per atom. The calculation puts the density of states at the Fermi level at 2.27 states/eV/f.u. For the relative energy among the computed polymorphs, the calculation gives 0.0 meV/atom. For the formation energy from raw total energies, the calculation gives -627 meV per atom.



(6)
## SiTeP2O (PBE-GGA)

Data for a relaxed structure of SiTeP2O.

Unit cell a=5.1067 b=5.1067 c=3.9206 alpha=90.00 beta=90.00 gamma=90.00
Closest atoms and distances in Å follow each position.
Positions (direct):
1 P 0.5000 0.0000 0.0000  2 Te 2.55
2 P 0.0000 0.5000 0.0000  2 Te 2.55
3 O 0.0000 0.0000 0.5000  2 Te 1.96
4 Si 0.5000 0.5000 0.5000  8 P 3.22
5 Te 0.0000 0.0000 0.0000  2 O 1.96

Values from the calculation:
The calculated total energy is -4.11 eV per atom. The calculation puts the density of states at the Fermi level at 3.56 states/eV/f.u. For the relative energy among the computed polymorphs, the calculation gives 958.7 meV/atom. For the formation energy from raw total energies, the calculation gives 754 meV per atom.



(7)
## SiTePO2 (PBE-GGA)

Data for a relaxed structure of SiTePO2.

Unit cell a=3.9772 b=3.9772 c=5.3090 alpha=90.00 beta=90.00 gamma=90.00
Closest atoms and distances in Å follow each position.
Positions (direct):
1 Si 0.5000 0.5000 0.5000  4 P 2.81
2 P 0.0000 0.0000 0.5000  2 Te 2.65, 4 Si 2.81
3 O 0.5000 0.0000 0.0000  2 Te 1.99
4 O 0.0000 0.5000 0.0000  2 Te 1.99
5 Te 0.0000 0.0000 0.0000  4 O 1.99

Values from the calculation:
The calculated total energy is -4.73 eV per atom. The calculation puts the density of states at the Fermi level at 1.79 states/eV/f.u. For the relative energy among the computed polymorphs, the calculation gives 674.4 meV/atom. For the formation energy from raw total energies, the calculation gives 47 meV per atom.



(8)
## SiTeP2O (PBE-GGA)

Data for a relaxed structure of SiTeP2O.

Unit cell a=4.8403 b=4.8403 c=3.4052 alpha=90.00 beta=90.00 gamma=90.00
Closest atoms and distances in Å follow each position.
Positions (direct):
1 Te 0.5000 0.5000 0.5000  8 P 2.96
2 Si 0.0000 0.0000 0.0000  2 O 1.70
3 P 0.0000 0.5000 0.0000  2 Si 2.42
4 P 0.5000 0.0000 0.0000  2 Si 2.42
5 O 0.0000 0.0000 0.5000  2 Si 1.70

Values from the calculation:
The calculated total energy is -5.07 eV per atom. The calculation puts the density of states at the Fermi level at 1.48 states/eV/f.u. For the relative energy among the computed polymorphs, the calculation gives 0.0 meV/atom. For the formation energy from raw total energies, the calculation gives -204 meV per atom.